! TbMn2O4 | Alexandria | GGA+U | optimized geometry; values from VASP
&SYSTEM
  ibrav = 0, nat = 28, ntyp = 3
/
ATOMIC_SPECIES
O 16.00 O.upf
Mn 54.94 Mn.upf
Tb 158.93 Tb.upf
ATOMIC_POSITIONS crystal
O 0.209 0.743 0.798
O 0.233 0.888 0.544
O 0.817 0.118 0.479
O 0.183 0.118 0.979
O 0.791 0.243 0.202
O 0.672 0.009 0.752
O 0.209 0.243 0.702
O 0.791 0.743 0.298
O 0.183 0.618 0.521
O 0.328 0.009 0.252
O 0.672 0.509 0.748
O 0.817 0.618 0.021
O 0.233 0.388 0.956
O 0.767 0.888 0.044
O 0.328 0.509 0.248
O 0.767 0.388 0.456
Mn 0.230 0.566 0.878
Mn 0.770 0.066 0.122
Mn 0.196 0.931 0.884
Mn 0.230 0.066 0.622
Mn 0.804 0.931 0.384
Mn 0.804 0.431 0.116
Mn 0.196 0.431 0.616
Mn 0.770 0.566 0.378
Tb 0.705 0.244 0.860
Tb 0.705 0.744 0.640
Tb 0.295 0.244 0.360
Tb 0.295 0.744 0.140
CELL_PARAMETERS angstrom
-1.959 0.590 2.468
-3.619 -9.337 -0.639
7.285 -3.273 6.565
! M_tot, μB per cell: 36.00
! Electronic total energy, eV/atom: -7.925
! Crystal system: orthorhombic
! Space group: No. 29